(1)
Density functional theory data (PBE) for crystalline Be6Cu5Rh at its relaxed geometry.

Output
Its calculated total energy is -4.383 eV per atom. Its crystal system is orthorhombic. For the volume, the calculation gives 120.09 Å³/f.u. As for the space group: No. 65.

Cell lengths 6.0283, 6.0283, 5.5156 Å; angles 90.00, 90.00, 143.19 degrees
Closest atoms and distances in Å follow each position.
Atoms (fractional coordinates):
Be: 0.0000 0.0000 0.2490  6 Cu 2.35-2.39, 2 Rh 2.35
Be: 0.0000 0.0000 0.7510  6 Cu 2.35-2.39, 2 Rh 2.35
Be: 0.3345 0.6655 0.2484  7 Cu 2.33-2.36, 1 Rh 2.35
Be: 0.3345 0.6655 0.7516  7 Cu 2.33-2.36, 1 Rh 2.35
Be: 0.6655 0.3345 0.2484  7 Cu 2.33-2.36, 1 Rh 2.35
Be: 0.6655 0.3345 0.7516  7 Cu 2.33-2.36, 1 Rh 2.35
Cu: 0.1696 0.8304 0.0000  8 Be 2.33-2.38
Cu: 0.1699 0.8301 0.5000  8 Be 2.34-2.39
Cu: 0.5000 0.5000 0.0000  8 Be 2.34-2.35
Cu: 0.8304 0.1696 0.0000  8 Be 2.33-2.38
Cu: 0.8301 0.1699 0.5000  8 Be 2.34-2.39
Rh: 0.5000 0.5000 0.5000  8 Be 2.35

***

(2)
Density functional theory data (PBE) for crystalline LaYCd2 at its relaxed geometry.

Output
Its crystal system is monoclinic. Its excess energy over the best structure of this formula in the dataset is 187 meV per atom. For the volume, the calculation gives 121.00 Å³/f.u. As for the space group: No. 12.

Cell lengths 10.3113, 3.6739, 6.5258 Å; angles 90.00, 101.78, 90.00 degrees
Closest atoms and distances in Å follow each position.
Atoms (fractional coordinates):
La: 0.0000 0.0000 0.0000  6 Cd 3.40-3.41, 2 La 3.67, 4 Y 3.74
La: 0.5000 0.5000 0.0000  6 Cd 3.40-3.41, 2 La 3.67, 4 Y 3.74
Y: 0.0000 0.5000 0.5000  6 Cd 3.22-3.25
Y: 0.5000 0.0000 0.5000  6 Cd 3.22-3.25
Cd: 0.2449 0.0000 0.7207  3 Y 3.22-3.25, 3 La 3.40-3.41, 2 Cd 3.44
Cd: 0.2551 0.5000 0.2793  3 Y 3.22-3.25, 3 La 3.40-3.41, 2 Cd 3.44
Cd: 0.7449 0.5000 0.7207  3 Y 3.22-3.25, 3 La 3.40-3.41, 2 Cd 3.44
Cd: 0.7551 0.0000 0.2793  3 Y 3.22-3.25, 3 La 3.40-3.41, 2 Cd 3.44

***

(3)
Density functional theory data (PBE) for crystalline VNiC at its relaxed geometry.

Output
Its calculated total energy is -8.079 eV per atom. Its crystal system is orthorhombic. For the volume, the calculation gives 31.31 Å³/f.u. As for the space group: No. 40.

Cell lengths 5.0223, 4.9937, 4.9938 Å; angles 90.00, 90.00, 90.00 degrees
Closest atoms and distances in Å follow each position.
Atoms (fractional coordinates):
V: 0.0000 0.0000 0.0000  4 C 2.16-2.17
V: 0.0000 0.5000 0.5000  4 C 2.16-2.17
V: 0.5000 0.0000 0.0000  4 C 2.16-2.17
V: 0.5000 0.5000 0.5000  4 C 2.16-2.17
Ni: 0.2500 0.0012 0.4987  2 C 1.77
Ni: 0.2500 0.5012 0.9987  2 C 1.77
Ni: 0.7500 0.4988 0.9987  2 C 1.77
Ni: 0.7500 0.9988 0.4987  2 C 1.77
C: 0.2500 0.2496 0.7503  2 Ni 1.77
C: 0.2500 0.7496 0.2503  2 Ni 1.77
C: 0.7500 0.2504 0.2503  2 Ni 1.77
C: 0.7500 0.7504 0.7503  2 Ni 1.77

***

(4)
Density functional theory data (PBE) for crystalline MnCr2P at its relaxed geometry.

Output
Its calculated total energy is -8.586 eV per atom. Its crystal system is tetragonal. For the volume, the calculation gives 46.88 Å³/f.u. As for the space group: No. 123.

Cell lengths 3.9472, 3.9472, 3.0090 Å; angles 90.00, 90.00, 90.00 degrees
Closest atoms and distances in Å follow each position.
Atoms (fractional coordinates):
Mn: 0.0000 0.0000 0.0000  8 Cr 2.48
Cr: 0.0000 0.5000 0.5000  4 P 2.48, 4 Mn 2.48
Cr: 0.5000 0.0000 0.5000  4 P 2.48, 4 Mn 2.48
P: 0.5000 0.5000 0.0000  8 Cr 2.48

***

(5)
Density functional theory data (PBE) for crystalline Pm3AlSi2Pt9 at its relaxed geometry.

Output
The calculation puts the uncorrected formation energy at -797 meV per atom. Its crystal system is trigonal. For the volume, the calculation gives 312.76 Å³/f.u. As for the space group: No. 164.

Cell lengths 6.3559, 6.3559, 8.9399 Å; angles 90.00, 90.00, 120.00 degrees
Closest atoms and distances in Å follow each position.
Atoms (fractional coordinates):
Pm: 0.0000 0.0000 0.0000  12 Pt 2.99-3.18
Pm: 0.3333 0.6667 0.6987  9 Pt 3.19-3.26
Pm: 0.6667 0.3333 0.3013  9 Pt 3.19-3.26
Al: 0.0000 0.0000 0.5000  6 Pt 2.50
Si: 0.3333 0.6667 0.1817  6 Pt 2.28-2.45
Si: 0.6667 0.3333 0.8183  6 Pt 2.28-2.45
Pt: 0.0000 0.5000 0.0000  2 Si 2.45
Pt: 0.1436 0.2872 0.2834  1 Si 2.28, 1 Al 2.50
Pt: 0.1436 0.8564 0.2834  1 Si 2.28, 1 Al 2.50
Pt: 0.2872 0.1436 0.7166  1 Si 2.28, 1 Al 2.50
Pt: 0.5000 0.0000 0.0000  2 Si 2.45
Pt: 0.5000 0.5000 0.0000  2 Si 2.45
Pt: 0.7128 0.8564 0.2834  1 Si 2.28, 1 Al 2.50
Pt: 0.8564 0.1436 0.7166  1 Si 2.28, 1 Al 2.50
Pt: 0.8564 0.7128 0.7166  1 Si 2.28, 1 Al 2.50

***

(6)
Density functional theory data (PBE) for crystalline LiBiN2F at its relaxed geometry.

Output
The calculation puts the uncorrected formation energy at 398 meV per atom. Its crystal system is tetragonal. Its excess energy over the best structure of this formula in the dataset is 0 meV per atom. For the volume, the calculation gives 86.41 Å³/f.u. As for the space group: No. 123.

Cell lengths 4.3447, 4.3447, 4.5774 Å; angles 90.00, 90.00, 90.00 degrees
Closest atoms and distances in Å follow each position.
Atoms (fractional coordinates):
Li: 0.0000 0.0000 0.0000  4 F 3.07, 8 N 3.16
Bi: 0.5000 0.5000 0.5000  4 N 2.17, 2 F 2.29
N: 0.0000 0.5000 0.5000  2 Bi 2.17
N: 0.5000 0.0000 0.5000  2 Bi 2.17
F: 0.5000 0.5000 0.0000  2 Bi 2.29

***

(7)
Density functional theory data (PBE) for crystalline LiTePtRh at its relaxed geometry.

Output
The calculation puts the uncorrected formation energy at -307 meV per atom. Its crystal system is cubic. For the volume, the calculation gives 64.15 Å³/f.u. As for the space group: No. 216.

Cell lengths 6.3547, 6.3547, 6.3547 Å; angles 90.00, 90.00, 90.00 degrees
Closest atoms and distances in Å follow each position.
Atoms (fractional coordinates):
Li: 0.0000 0.0000 0.0000  4 Rh 2.75, 4 Pt 2.75
Li: 0.0000 0.5000 0.5000  4 Rh 2.75, 4 Pt 2.75
Li: 0.5000 0.0000 0.5000  4 Rh 2.75, 4 Pt 2.75
Li: 0.5000 0.5000 0.0000  4 Rh 2.75, 4 Pt 2.75
Te: 0.0000 0.0000 0.5000  4 Rh 2.75, 4 Pt 2.75
Te: 0.0000 0.5000 0.0000  4 Rh 2.75, 4 Pt 2.75
Te: 0.5000 0.0000 0.0000  4 Rh 2.75, 4 Pt 2.75
Te: 0.5000 0.5000 0.5000  4 Rh 2.75, 4 Pt 2.75
Pt: 0.2500 0.2500 0.2500  4 Li 2.75, 4 Te 2.75
Pt: 0.2500 0.7500 0.7500  4 Li 2.75, 4 Te 2.75
Pt: 0.7500 0.2500 0.7500  4 Li 2.75, 4 Te 2.75
Pt: 0.7500 0.7500 0.2500  4 Li 2.75, 4 Te 2.75
Rh: 0.2500 0.2500 0.7500  4 Li 2.75, 4 Te 2.75
Rh: 0.2500 0.7500 0.2500  4 Li 2.75, 4 Te 2.75
Rh: 0.7500 0.2500 0.2500  4 Li 2.75, 4 Te 2.75
Rh: 0.7500 0.7500 0.7500  4 Li 2.75, 4 Te 2.75

***

(8)
Density functional theory data (PBE) for crystalline Fe13C2 at its relaxed geometry.

Output
Its calculated total energy is -8.428 eV per atom. Its crystal system is triclinic. For the volume, the calculation gives 158.70 Å³/f.u. As for the space group: No. 2.

Cell lengths 4.4882, 5.7043, 6.8640 Å; angles 65.59, 84.59, 83.21 degrees
Closest atoms and distances in Å follow each position.
Atoms (fractional coordinates):
Fe: 0.0000 0.0000 0.0000  2 C 1.92
Fe: 0.0674 0.8293 0.6932  1 C 1.90
Fe: 0.1642 0.6810 0.3892  1 C 1.90
Fe: 0.2317 0.5469 0.0701  12 Fe 2.51-2.62
Fe: 0.3132 0.3957 0.7726  1 C 1.89
Fe: 0.3952 0.2407 0.4486  1 C 1.88
Fe: 0.4485 0.0845 0.1510  1 C 1.90
Fe: 0.5515 0.9155 0.8490  1 C 1.90
Fe: 0.6048 0.7593 0.5514  1 C 1.88
Fe: 0.6868 0.6043 0.2274  1 C 1.89
Fe: 0.7683 0.4531 0.9299  12 Fe 2.51-2.62
Fe: 0.8358 0.3190 0.6108  1 C 1.90
Fe: 0.9326 0.1707 0.3068  1 C 1.90
C: 0.1987 0.1185 0.7211  6 Fe 1.88-1.92
C: 0.8013 0.8815 0.2789  6 Fe 1.88-1.92

***

(9)
Density functional theory data (PBE) for crystalline Dy2Ga3Ru at its relaxed geometry.

Output
Its calculated total energy is -5.190 eV per atom. Its crystal system is monoclinic. For the volume, the calculation gives 119.85 Å³/f.u. As for the space group: No. 8.

Cell lengths 10.4894, 4.2378, 7.0978 Å; angles 90.00, 130.56, 90.00 degrees
Closest atoms and distances in Å follow each position.
Atoms (fractional coordinates):
Dy: 0.0000 0.0000 0.0000  2 Ru 3.01, 9 Ga 3.03-3.29
Dy: 0.1025 0.0000 0.6120  8 Ga 3.02-3.30, 3 Ru 3.04-3.06
Dy: 0.5000 0.5000 0.0000  2 Ru 3.01, 9 Ga 3.03-3.29
Dy: 0.6025 0.5000 0.6120  8 Ga 3.02-3.30, 3 Ru 3.04-3.06
Ga: 0.2099 0.5000 0.0092  1 Ru 2.55, 3 Ga 2.56-2.84
Ga: 0.2245 0.5000 0.4234  2 Ru 2.55, 2 Ga 2.83-2.84
Ga: 0.3871 0.0000 0.2225  3 Ga 2.56-2.83, 1 Ru 2.76
Ga: 0.7099 0.0000 0.0092  1 Ru 2.55, 3 Ga 2.56-2.84
Ga: 0.7245 0.0000 0.4234  2 Ru 2.55, 2 Ga 2.83-2.84
Ga: 0.8871 0.5000 0.2225  3 Ga 2.56-2.83, 1 Ru 2.76
Ru: 0.3993 0.0000 0.6232  4 Ga 2.55-2.76
Ru: 0.8993 0.5000 0.6232  4 Ga 2.55-2.76

***

(10)
Density functional theory data (PBE) for crystalline URu3 at its relaxed geometry.

Output
Its calculated total energy is -10.096 eV per atom. Its crystal system is cubic. For the volume, the calculation gives 63.87 Å³/f.u. As for the space group: No. 221.

Cell lengths 3.9972, 3.9972, 3.9972 Å; angles 90.00, 90.00, 90.00 degrees
Closest atoms and distances in Å follow each position.
Atoms (fractional coordinates):
U: 0.0000 0.0000 0.0000  12 Ru 2.83
Ru: 0.0000 0.5000 0.5000  8 Ru 2.83, 4 U 2.83
Ru: 0.5000 0.0000 0.5000  8 Ru 2.83, 4 U 2.83
Ru: 0.5000 0.5000 0.0000  8 Ru 2.83, 4 U 2.83

***

(11)
Density functional theory data (PBE) for crystalline HoEr2Mg at its relaxed geometry.

Output
Its crystal system is tetragonal. Its excess energy over the best structure of this formula in the dataset is 60 meV per atom. For the volume, the calculation gives 115.53 Å³/f.u. As for the space group: No. 123.

Cell lengths 4.8667, 4.8667, 4.8779 Å; angles 90.00, 90.00, 90.00 degrees
Closest atoms and distances in Å follow each position.
Atoms (fractional coordinates):
Ho: 0.0000 0.0000 0.0000  4 Mg 3.44, 8 Er 3.45
Er: 0.0000 0.5000 0.5000  4 Er 3.44, 4 Mg 3.45, 4 Ho 3.45
Er: 0.5000 0.0000 0.5000  4 Er 3.44, 4 Mg 3.45, 4 Ho 3.45
Mg: 0.5000 0.5000 0.0000  4 Ho 3.44, 8 Er 3.45

***

(12)
Density functional theory data (PBE) for crystalline DyTlIr4 at its relaxed geometry.

Output
Its calculated total energy is -7.302 eV per atom. Its crystal system is cubic. For the volume, the calculation gives 108.09 Å³/f.u. As for the space group: No. 216.

Cell lengths 5.3470, 5.3470, 5.3470 Å; angles 60.00, 60.00, 60.00 degrees
Closest atoms and distances in Å follow each position.
Atoms (fractional coordinates):
Dy: 0.0000 0.0000 0.0000  12 Ir 3.14, 4 Tl 3.27
Tl: 0.7500 0.7500 0.7500  12 Ir 3.13, 4 Dy 3.27
Ir: 0.3752 0.3752 0.3752  6 Ir 2.67-2.68
Ir: 0.3752 0.3752 0.8743  6 Ir 2.67-2.68
Ir: 0.3752 0.8743 0.3752  6 Ir 2.67-2.68
Ir: 0.8743 0.3752 0.3752  6 Ir 2.67-2.68